Record 1
A relaxed CdMo2Pt crystal, computed with GGA-PBE.

Cell lengths 4.931, 4.931, 5.165 Å; angles 82.91, 82.91, 32.25 degrees
Fractional positions:
Cd 0.755 0.755 0.740
Mo 0.998 0.998 0.016
Mo 0.239 0.239 0.241
Pt 0.508 0.508 0.504

Record 2
A relaxed CdMo2Pt crystal, computed with GGA-PBE.

Cell lengths 5.156, 5.156, 4.725 Å; angles 79.28, 79.28, 32.75 degrees
Fractional positions:
Cd 0.750 0.750 0.750
Mo 0.991 0.991 0.017
Mo 0.509 0.509 0.483
Pt 0.250 0.250 0.250

Record 3
A relaxed CdMoPt2 crystal, computed with GGA-PBE.

Cell lengths 7.297, 7.297, 5.875 Å; angles 51.61, 51.61, 90.00 degrees
Site moments in Bohr magnetons follow the coordinates.
Fractional positions:
Mo 0.500 0.500 0.000  1.09
Mo 0.250 0.750 0.500  1.08
Pt 0.599 0.125 0.250  0.14
Pt 0.151 0.625 0.250  0.14
Pt 0.375 0.401 0.750  0.15
Pt 0.875 0.849 0.750  0.15
Cd 0.000 0.000 0.000  0.04
Cd 0.750 0.250 0.500  0.04

Record 4
A relaxed CdMo2Pt crystal, computed with GGA-PBE.

Cell lengths 9.865, 9.865, 9.865 Å; angles 16.44, 16.44, 16.44 degrees
Fractional positions:
Cd 0.752 0.752 0.752
Mo 0.997 0.997 0.997
Mo 0.247 0.247 0.247
Pt 0.504 0.504 0.504

Record 5
A relaxed Cd2MoPt crystal, computed with GGA-PBE.

Output
energy above the lowest structure with this stoichiometry = 0.291 eV per atom

Cell lengths 4.669, 4.669, 4.669 Å; angles 60.00, 60.00, 60.00 degrees
Site moments in Bohr magnetons follow the coordinates.
Fractional positions:
Cd 0.000 0.000 0.000  -0.02
Cd 0.250 0.250 0.250  0.01
Mo 0.500 0.500 0.500  1.44
Pt 0.750 0.750 0.750  0.11

Record 6
A relaxed CdMo2Pt crystal, computed with GGA-PBE.

Cell lengths 3.849, 3.852, 4.458 Å; angles 90.00, 90.00, 90.00 degrees
Fractional positions:
Cd 0.000 0.500 0.500
Mo 0.000 0.000 0.000
Mo 0.500 0.500 0.000
Pt 0.500 0.000 0.500

Record 7
A relaxed CdMoPt2 crystal, computed with GGA-PBE.

Cell lengths 4.955, 4.955, 5.003 Å; angles 81.72, 81.72, 33.00 degrees
Fractional positions:
Cd 0.498 0.498 0.525
Mo 0.257 0.257 0.210
Pt 0.998 0.998 0.033
Pt 0.746 0.746 0.731

Record 8
A relaxed CdMoPt2 crystal, computed with GGA-PBE.

Cell lengths 6.527, 6.527, 6.527 Å; angles 155.37, 140.98, 46.69 degrees
Fractional positions:
Cd 0.550 0.550 0.000
Mo 0.780 0.280 0.500
Pt 0.963 0.963 0.000
Pt 0.208 0.708 0.500

Number 1: ΔH_f (0 K) 0.138 eV/atom. Number 2: ΔH_f (0 K) 0.149 eV/atom. Number 3: ΔH_f (0 K) 0.363 eV/atom. Number 4: ΔH_f (0 K) 0.142 eV/atom. Number 5: ΔH_f (0 K) 0.255 eV/atom. Number 6: ΔH_f (0 K) 0.152 eV/atom. Number 7: ΔH_f (0 K) -0.129 eV/atom. Number 8: ΔH_f (0 K) -0.069 eV/atom.